(1)
POs3Pb (GGA-PBEsol, relaxed); energy of formation from the pure elements = 1.0381 eV per atom
1.0
-3.5105 -1.9757 -1.7965
2.5217 -3.4289 -1.1567
-0.8785 -1.9477 3.8586
Pb P Os
1 1 3
direct
0.5000 0.5000 0.5000
0.0000 0.0000 0.0000
0.0000 0.5000 0.0000
0.0000 0.0000 0.5000
0.5000 0.0000 0.0000

***

(2)
YCd2Mo (GGA-PBEsol, relaxed); energy of formation from the pure elements = 0.2652 eV per atom
1.0
2.9730 0.0000 0.0000
0.0000 5.2417 0.0140
-1.4865 -0.9131 5.1725
Cd Mo Y
2 1 1
direct
0.2398 0.2309 0.4797
0.7602 0.7691 0.5203
0.5000 0.0000 0.0000
0.0000 0.5000 0.0000

***

(3)
CdTcCl2 (GGA-PBEsol, relaxed); total DFT energy (no corrections) = -14.2 eV/cell
1.0
3.9542 0.0000 0.0000
0.0000 4.4116 0.0000
0.0000 0.0000 4.4116
Cl Tc Cd
2 1 1
direct
0.0000 0.0000 0.5000
0.0000 0.5000 0.0000
0.5000 0.5000 0.5000
0.5000 0.0000 0.0000

***

(4)
SrYNiMo2 (GGA-PBEsol, relaxed); energy of formation from the pure elements = 1.7239 eV per atom
1.0
4.8143 0.0000 0.0000
0.0000 4.9634 0.0000
0.0000 0.0000 4.9634
Y Sr Mo Ni
1 1 2 1
direct
0.0000 0.0000 0.0000
0.5000 0.5000 0.5000
0.0000 0.0000 0.5000
0.0000 0.5000 0.0000
0.5000 0.0000 0.0000

***

Repeat the first record exactly.
POs3Pb (GGA-PBEsol, relaxed); energy of formation from the pure elements = 1.0381 eV per atom
1.0
-3.5105 -1.9757 -1.7965
2.5217 -3.4289 -1.1567
-0.8785 -1.9477 3.8586
Pb P Os
1 1 3
direct
0.5000 0.5000 0.5000
0.0000 0.0000 0.0000
0.0000 0.5000 0.0000
0.0000 0.0000 0.5000
0.5000 0.0000 0.0000